Record 1
{
  "formula": "AcScAgGe",
  "functional": "PBE-GGA",
  "state": "optimized geometry",
  "cell": [[0.000, 3.699, 3.699], [3.699, 0.000, 3.699], [3.699, 3.699, 0.000]],
  "species": ["Ac", "Sc", "Ag", "Ge"],
  "fractional_positions": [[0.000, 0.000, 0.000], [0.500, 0.500, 0.500], [0.250, 0.250, 0.250], [0.750, 0.750, 0.750]],
  "n_ef_per_ev_fu": 3.90,
  "ef_ev_per_atom": -0.358,
  "m_tot_mub_per_cell": 0.5,
  "density_g_cm3": 7.423,
  "final_energy_ev_per_cell": -19.340
}

---

Record 2
{
  "formula": "Pr6Er2Mg",
  "functional": "PBE-GGA",
  "state": "optimized geometry",
  "cell": [[6.122, -2.855, 0.000], [6.122, 2.855, 0.000], [-1.808, 0.000, 8.709]],
  "species": ["Pr", "Pr", "Pr", "Pr", "Pr", "Pr", "Er", "Er", "Mg"],
  "fractional_positions": [[0.084, 0.084, 0.370], [0.149, 0.149, 0.998], [0.389, 0.389, 0.331], [0.611, 0.611, 0.669], [0.851, 0.851, 0.002], [0.916, 0.916, 0.630], [0.295, 0.295, 0.708], [0.705, 0.705, 0.292], [0.500, 0.500, 0.000]],
  "n_ef_per_ev_fu": 13.43,
  "ef_ev_per_atom": 0.038,
  "m_tot_mub_per_cell": 0.0,
  "density_g_cm3": 6.568,
  "final_energy_ev_per_cell": -39.055,
  "de_polymorph_mev_per_atom": 13
}

---

Record 3
{
  "formula": "Ac4Ag2O",
  "functional": "PBE-GGA",
  "state": "optimized geometry",
  "cell": [[-2.595, 2.595, 8.175], [2.595, -2.595, 8.175], [2.595, 2.595, -8.175]],
  "species": ["Ac", "Ac", "Ac", "Ac", "Ag", "Ag", "O"],
  "fractional_positions": [[0.000, 0.500, 0.500], [0.184, 0.184, 0.000], [0.500, 0.000, 0.500], [0.816, 0.816, 0.000], [0.373, 0.373, 0.000], [0.627, 0.627, 0.000], [0.000, 0.000, 0.000]],
  "n_ef_per_ev_fu": 6.14,
  "m_tot_mub_per_cell": 0.0,
  "density_g_cm3": 8.596,
  "formation_energy_uncorrected_mev_per_atom": -833.5,
  "final_energy_ev_per_cell": -32.929
}

---

Record 4
{
  "formula": "Th4ZnRe",
  "functional": "PBE-GGA",
  "state": "optimized geometry",
  "cell": [[7.331, 0.000, 0.000], [0.000, 7.331, 0.000], [0.000, 0.000, 6.060]],
  "species": ["Th", "Th", "Th", "Th", "Th", "Th", "Th", "Th", "Zn", "Zn", "Re", "Re"],
  "fractional_positions": [[0.150, 0.323, 0.000], [0.150, 0.677, 0.500], [0.323, 0.150, 0.500], [0.323, 0.850, 0.000], [0.677, 0.150, 0.000], [0.677, 0.850, 0.500], [0.850, 0.323, 0.500], [0.850, 0.677, 0.000], [0.500, 0.500, 0.250], [0.500, 0.500, 0.750], [0.000, 0.000, 0.250], [0.000, 0.000, 0.750]],
  "n_ef_per_ev_fu": 8.00,
  "ef_ev_per_atom": -0.097,
  "m_tot_mub_per_cell": 0.0,
  "density_g_cm3": 12.029,
  "final_energy_ev_per_cell": -87.965
}

---

Record 5
{
  "formula": "TaOs",
  "functional": "PBE-GGA",
  "state": "optimized geometry",
  "cell": [[2.901, -4.047, 0.000], [2.901, 4.047, 0.000], [-0.772, 0.000, 2.788]],
  "species": ["Ta", "Ta", "Os", "Os"],
  "fractional_positions": [[0.215, 0.785, 0.000], [0.785, 0.215, 0.000], [0.290, 0.290, 0.569], [0.710, 0.710, 0.431]],
  "n_ef_per_ev_fu": 1.26,
  "ef_ev_per_atom": -0.160,
  "m_tot_mub_per_cell": 0.0,
  "density_g_cm3": 18.827,
  "final_energy_ev_per_cell": -46.803
}

---

Record 6
{
  "formula": "PrNdHo5Th2",
  "functional": "PBE-GGA",
  "state": "optimized geometry",
  "cell": [[-4.454, 4.454, 7.608], [4.454, -4.454, 7.608], [4.454, 4.454, -7.608]],
  "species": ["Pr", "Pr", "Nd", "Nd", "Ho", "Ho", "Ho", "Ho", "Ho", "Ho", "Ho", "Ho", "Ho", "Ho", "Th", "Th", "Th", "Th"],
  "fractional_positions": [[0.250, 0.250, 0.000], [0.750, 0.750, 0.000], [0.250, 0.750, 0.500], [0.750, 0.250, 0.500], [0.000, 0.000, 0.000], [0.070, 0.570, 0.912], [0.158, 0.070, 0.500], [0.342, 0.842, 0.912], [0.430, 0.342, 0.500], [0.500, 0.500, 0.000], [0.570, 0.658, 0.500], [0.658, 0.158, 0.088], [0.842, 0.930, 0.500], [0.930, 0.430, 0.088], [0.118, 0.382, 0.500], [0.382, 0.882, 0.263], [0.618, 0.118, 0.737], [0.882, 0.618, 0.500]],
  "n_ef_per_ev_fu": 12.51,
  "ef_ev_per_atom": 0.318,
  "m_tot_mub_per_cell": 0.0,
  "density_g_cm3": 8.657,
  "final_energy_ev_per_cell": -88.830
}

---

Record 7
{
  "formula": "GeP2PbS",
  "functional": "PBE-GGA",
  "state": "optimized geometry",
  "cell": [[4.561, 0.000, 0.000], [0.000, 4.561, 0.000], [0.000, 0.000, 6.188]],
  "species": ["Ge", "P", "P", "Pb", "S"],
  "fractional_positions": [[0.000, 0.000, 0.000], [0.000, 0.500, 0.000], [0.500, 0.000, 0.000], [0.000, 0.000, 0.500], [0.500, 0.500, 0.500]],
  "n_ef_per_ev_fu": 4.00,
  "m_tot_mub_per_cell": 0.7,
  "density_g_cm3": 4.822,
  "formation_energy_uncorrected_mev_per_atom": 796.9,
  "final_energy_ev_per_cell": -19.288,
  "de_polymorph_mev_per_atom": 0
}

---

Record 8
{
  "formula": "As2HPd4",
  "functional": "PBE-GGA",
  "state": "optimized geometry",
  "cell": [[6.079, 0.000, 0.000], [-1.639, 6.201, 0.000], [-2.501, -2.608, 5.487]],
  "species": ["As", "As", "As", "As", "H", "H", "Pd", "Pd", "Pd", "Pd", "Pd", "Pd", "Pd", "Pd"],
  "fractional_positions": [[0.000, 0.000, 0.000], [0.175, 0.427, 0.688], [0.503, 0.503, 0.228], [0.754, 0.407, 0.898], [0.413, 0.939, 0.424], [0.524, 0.986, 0.983], [0.311, 0.102, 0.821], [0.316, 0.678, 0.481], [0.359, 0.811, 0.094], [0.375, 0.233, 0.452], [0.796, 0.073, 0.616], [0.824, 0.244, 0.234], [0.870, 0.635, 0.637], [0.899, 0.799, 0.256]],
  "n_ef_per_ev_fu": 2.76,
  "m_tot_mub_per_cell": 0.0,
  "density_g_cm3": 9.257,
  "final_energy_ev_per_cell": -69.915
}

---

Record 9
{
  "formula": "CePr4Dy3",
  "functional": "PBE-GGA",
  "state": "optimized geometry",
  "cell": [[11.902, -1.732, 0.000], [11.902, 1.732, 0.000], [-2.001, 0.000, 6.626]],
  "species": ["Ce", "Pr", "Pr", "Pr", "Pr", "Dy", "Dy", "Dy"],
  "fractional_positions": [[0.000, 0.000, 0.000], [0.242, 0.242, 0.235], [0.379, 0.379, 0.637], [0.621, 0.621, 0.363], [0.758, 0.758, 0.765], [0.378, 0.378, 0.119], [0.500, 0.500, 0.500], [0.622, 0.622, 0.881]],
  "n_ef_per_ev_fu": 15.75,
  "ef_ev_per_atom": 0.189,
  "m_tot_mub_per_cell": 0.9,
  "density_g_cm3": 7.243,
  "final_energy_ev_per_cell": -37.344
}

---

Record 10
{
  "formula": "ThZrAs2",
  "functional": "PBE-GGA",
  "state": "optimized geometry",
  "cell": [[3.991, 0.000, 0.000], [-1.995, 3.456, 0.000], [0.000, 0.000, 13.683]],
  "species": ["Th", "Th", "Zr", "Zr", "As", "As", "As", "As"],
  "fractional_positions": [[0.333, 0.667, 0.250], [0.667, 0.333, 0.750], [0.000, 0.000, 0.000], [0.000, 0.000, 0.500], [0.333, 0.667, 0.612], [0.333, 0.667, 0.888], [0.667, 0.333, 0.112], [0.667, 0.333, 0.388]],
  "n_ef_per_ev_fu": 1.85,
  "ef_ev_per_atom": -1.212,
  "m_tot_mub_per_cell": 0.0,
  "density_g_cm3": 8.326,
  "final_energy_ev_per_cell": -60.226,
  "de_polymorph_mev_per_atom": 27
}

---

Record 11
{
  "formula": "La2Pd13",
  "functional": "PBE-GGA",
  "state": "optimized geometry",
  "cell": [[3.694, 2.133, 6.851], [-3.694, 2.133, 6.851], [0.000, -4.265, 6.851]],
  "species": ["La", "La", "Pd", "Pd", "Pd", "Pd", "Pd", "Pd", "Pd", "Pd", "Pd", "Pd", "Pd", "Pd", "Pd"],
  "fractional_positions": [[0.244, 0.244, 0.244], [0.756, 0.756, 0.756], [0.000, 0.000, 0.000], [0.017, 0.017, 0.645], [0.017, 0.645, 0.017], [0.240, 0.240, 0.614], [0.240, 0.614, 0.240], [0.355, 0.983, 0.983], [0.386, 0.760, 0.760], [0.614, 0.240, 0.240], [0.645, 0.017, 0.017], [0.760, 0.386, 0.760], [0.760, 0.760, 0.386], [0.983, 0.355, 0.983], [0.983, 0.983, 0.355]],
  "n_ef_per_ev_fu": 14.66,
  "ef_ev_per_atom": -0.036,
  "m_tot_mub_per_cell": 0.0,
  "density_g_cm3": 8.519,
  "final_energy_ev_per_cell": -77.903
}

---

Record 12
{
  "formula": "GaCoB2Pd",
  "functional": "PBE-GGA",
  "state": "optimized geometry",
  "cell": [[3.970, 0.000, 0.000], [0.000, 3.970, 0.000], [0.000, 0.000, 5.059]],
  "species": ["Ga", "Co", "B", "B", "Pd"],
  "fractional_positions": [[0.000, 0.000, 0.000], [0.500, 0.500, 0.000], [0.000, 0.500, 0.500], [0.500, 0.000, 0.500], [0.000, 0.000, 0.500]],
  "n_ef_per_ev_fu": 8.44,
  "ef_ev_per_atom": 1.254,
  "m_tot_mub_per_cell": 1.8,
  "density_g_cm3": 5.348,
  "final_energy_ev_per_cell": -22.409
}

---

Record 13
{
  "formula": "MgSi2Pt",
  "functional": "PBE-GGA",
  "state": "optimized geometry",
  "cell": [[3.905, 0.000, 0.000], [0.000, 3.905, 0.000], [0.000, 0.000, 3.999]],
  "species": ["Mg", "Si", "Si", "Pt"],
  "fractional_positions": [[0.000, 0.000, 0.000], [0.000, 0.500, 0.500], [0.500, 0.000, 0.500], [0.500, 0.500, 0.000]],
  "n_ef_per_ev_fu": 0.52,
  "m_tot_mub_per_cell": 0.0,
  "density_g_cm3": 7.505,
  "formation_energy_uncorrected_mev_per_atom": -183.7,
  "final_energy_ev_per_cell": -19.216
}

---

Record 14
{
  "formula": "BeRhF",
  "functional": "PBE-GGA",
  "state": "optimized geometry",
  "cell": [[2.604, 0.000, 0.000], [0.000, 2.748, 0.000], [-0.003, 0.000, 10.385]],
  "species": ["Be", "Be", "Rh", "Rh", "F", "F"],
  "fractional_positions": [[0.000, 0.000, 0.000], [0.498, 0.500, 0.552], [0.020, 0.500, 0.185], [0.520, 0.000, 0.368], [0.500, 0.000, 0.915], [0.999, 0.500, 0.638]],
  "n_ef_per_ev_fu": 1.72,
  "m_tot_mub_per_cell": 0.0,
  "density_g_cm3": 5.852,
  "formation_energy_uncorrected_mev_per_atom": -1435.0,
  "final_energy_ev_per_cell": -34.508,
  "de_polymorph_mev_per_atom": 11
}

---

Record 15
{
  "formula": "NbMoI2N",
  "functional": "PBE-GGA",
  "state": "optimized geometry",
  "cell": [[5.584, 0.000, 0.000], [0.000, 5.584, 0.000], [0.000, 0.000, 3.804]],
  "species": ["Nb", "Mo", "I", "I", "N"],
  "fractional_positions": [[0.000, 0.000, 0.000], [0.500, 0.500, 0.500], [0.000, 0.500, 0.500], [0.500, 0.000, 0.500], [0.500, 0.500, 0.000]],
  "n_ef_per_ev_fu": 5.22,
  "m_tot_mub_per_cell": 3.8,
  "density_g_cm3": 6.394,
  "formation_energy_uncorrected_mev_per_atom": 833.8,
  "final_energy_ev_per_cell": -28.158,
  "de_polymorph_mev_per_atom": 27
}

---

Record 16
{
  "formula": "NiSb2Ru",
  "functional": "PBE-GGA",
  "state": "optimized geometry",
  "cell": [[1.632, 0.942, 7.736], [-1.632, 0.942, 7.736], [0.000, -1.885, 7.736]],
  "species": ["Ni", "Sb", "Sb", "Ru"],
  "fractional_positions": [[0.000, 0.000, 0.000], [0.253, 0.253, 0.253], [0.747, 0.747, 0.747], [0.500, 0.500, 0.500]],
  "n_ef_per_ev_fu": 1.14,
  "m_tot_mub_per_cell": 0.0,
  "density_g_cm3": 9.378,
  "formation_energy_uncorrected_mev_per_atom": 62.5,
  "final_energy_ev_per_cell": -23.052,
  "de_polymorph_mev_per_atom": 112
}

---

Record 17
{
  "formula": "ZnHg3I",
  "functional": "PBE-GGA",
  "state": "optimized geometry",
  "cell": [[5.372, 0.000, 0.000], [0.000, 5.372, 0.000], [0.000, 0.000, 5.372]],
  "species": ["Zn", "Hg", "Hg", "Hg", "I"],
  "fractional_positions": [[0.000, 0.000, 0.000], [0.000, 0.000, 0.500], [0.000, 0.500, 0.000], [0.500, 0.000, 0.000], [0.500, 0.500, 0.500]],
  "n_ef_per_ev_fu": 1.21,
  "m_tot_mub_per_cell": 0.0,
  "density_g_cm3": 8.505,
  "formation_energy_uncorrected_mev_per_atom": -53.1,
  "final_energy_ev_per_cell": -3.995,
  "de_polymorph_mev_per_atom": 0
}

---

Record 18
{
  "formula": "In4GaHg2",
  "functional": "PBE-GGA",
  "state": "optimized geometry",
  "cell": [[-4.062, 4.062, 2.908], [4.062, -4.062, 2.908], [4.062, 4.062, -2.908]],
  "species": ["In", "In", "In", "In", "Ga", "Hg", "Hg"],
  "fractional_positions": [[0.053, 0.688, 0.000], [0.312, 0.312, 0.364], [0.688, 0.053, 0.000], [0.947, 0.947, 0.636], [0.500, 0.500, 0.000], [0.250, 0.750, 0.500], [0.750, 0.250, 0.500]],
  "n_ef_per_ev_fu": 3.54,
  "ef_ev_per_atom": 0.099,
  "m_tot_mub_per_cell": 0.0,
  "density_g_cm3": 8.048,
  "final_energy_ev_per_cell": -13.894,
  "de_polymorph_mev_per_atom": 66
}

---

Record 19
{
  "formula": "PrEr2ScTl2",
  "functional": "PBE-GGA",
  "state": "optimized geometry",
  "cell": [[5.013, 0.000, 0.000], [0.000, 9.863, 0.000], [0.000, 0.000, 6.860]],
  "species": ["Pr", "Pr", "Er", "Er", "Er", "Er", "Sc", "Sc", "Tl", "Tl", "Tl", "Tl"],
  "fractional_positions": [[0.000, 0.047, 0.000], [0.000, 0.953, 0.500], [0.000, 0.316, 0.393], [0.000, 0.684, 0.893], [0.500, 0.452, 0.099], [0.500, 0.548, 0.599], [0.500, 0.200, 0.717], [0.500, 0.800, 0.217], [0.000, 0.366, 0.842], [0.000, 0.634, 0.342], [0.500, 0.132, 0.278], [0.500, 0.868, 0.778]],
  "n_ef_per_ev_fu": 6.29,
  "ef_ev_per_atom": -0.249,
  "m_tot_mub_per_cell": 0.0,
  "density_g_cm3": 9.097,
  "final_energy_ev_per_cell": -52.928
}

---

Record 20
{
  "formula": "Ca4Re",
  "functional": "PBE-GGA",
  "state": "optimized geometry",
  "cell": [[-3.512, 3.512, 3.512], [3.512, -3.512, 3.512], [3.512, 3.512, -3.512]],
  "species": ["Ca", "Ca", "Ca", "Ca", "Re"],
  "fractional_positions": [[0.000, 0.000, 0.500], [0.000, 0.500, 0.000], [0.500, 0.000, 0.000], [0.500, 0.500, 0.500], [0.000, 0.000, 0.000]],
  "n_ef_per_ev_fu": 6.22,
  "ef_ev_per_atom": 0.641,
  "m_tot_mub_per_cell": 0.0,
  "density_g_cm3": 3.322,
  "final_energy_ev_per_cell": -17.249,
  "de_polymorph_mev_per_atom": 60
}

---

Record 21
{
  "formula": "Cr2CdPb",
  "functional": "PBE-GGA",
  "state": "optimized geometry",
  "cell": [[0.000, 3.512, 3.512], [3.512, 0.000, 3.512], [3.512, 3.512, 0.000]],
  "species": ["Cr", "Cr", "Cd", "Pb"],
  "fractional_positions": [[0.000, 0.000, 0.000], [0.250, 0.250, 0.250], [0.500, 0.500, 0.500], [0.750, 0.750, 0.750]],
  "n_ef_per_ev_fu": 1.14,
  "ef_ev_per_atom": 0.726,
  "m_tot_mub_per_cell": 8.7,
  "density_g_cm3": 8.120,
  "final_energy_ev_per_cell": -20.967
}

---

Record 22
{
  "formula": "CaMg2Ni",
  "functional": "PBE-GGA",
  "state": "optimized geometry",
  "cell": [[2.910, -5.352, 0.000], [2.910, 5.352, 0.000], [-1.486, 0.000, 2.789]],
  "species": ["Ca", "Mg", "Mg", "Ni"],
  "fractional_positions": [[0.000, 0.000, 0.000], [0.000, 0.500, 0.500], [0.500, 0.000, 0.500], [0.500, 0.500, 0.000]],
  "n_ef_per_ev_fu": 2.48,
  "ef_ev_per_atom": 0.203,
  "m_tot_mub_per_cell": 0.0,
  "density_g_cm3": 2.817,
  "final_energy_ev_per_cell": -10.160
}

---

Record 23
{
  "formula": "ZrMo2Se",
  "functional": "PBE-GGA",
  "state": "optimized geometry",
  "cell": [[0.000, 3.268, 3.268], [3.268, 0.000, 3.268], [3.268, 3.268, 0.000]],
  "species": ["Zr", "Mo", "Mo", "Se"],
  "fractional_positions": [[0.000, 0.000, 0.000], [0.250, 0.250, 0.250], [0.500, 0.500, 0.500], [0.750, 0.750, 0.750]],
  "n_ef_per_ev_fu": 5.85,
  "m_tot_mub_per_cell": 0.0,
  "density_g_cm3": 8.614,
  "formation_energy_uncorrected_mev_per_atom": 237.7,
  "final_energy_ev_per_cell": -32.744
}

---

Record 24
{
  "formula": "AcMgSn2Ir2",
  "functional": "PBE-GGA",
  "state": "optimized geometry",
  "cell": [[4.641, 0.000, 0.000], [-2.321, 4.019, 0.000], [0.000, 0.000, 7.315]],
  "species": ["Ac", "Mg", "Sn", "Sn", "Ir", "Ir"],
  "fractional_positions": [[0.000, 0.000, 0.000], [0.000, 0.000, 0.500], [0.333, 0.667, 0.311], [0.667, 0.333, 0.689], [0.333, 0.667, 0.698], [0.667, 0.333, 0.302]],
  "n_ef_per_ev_fu": 3.65,
  "ef_ev_per_atom": -0.525,
  "m_tot_mub_per_cell": 0.0,
  "density_g_cm3": 10.626,
  "final_energy_ev_per_cell": -34.580
}

---

Record 25
{
  "formula": "Lu2PuSn",
  "functional": "PBE-GGA",
  "state": "optimized geometry",
  "cell": [[1.713, 0.989, 10.701], [-1.713, 0.989, 10.701], [0.000, -1.978, 10.701]],
  "species": ["Lu", "Lu", "Pu", "Sn"],
  "fractional_positions": [[0.247, 0.247, 0.247], [0.753, 0.753, 0.753], [0.000, 0.000, 0.000], [0.500, 0.500, 0.500]],
  "n_ef_per_ev_fu": 9.43,
  "ef_ev_per_atom": -0.154,
  "m_tot_mub_per_cell": 6.0,
  "density_g_cm3": 10.882,
  "final_energy_ev_per_cell": -27.994,
  "de_polymorph_mev_per_atom": 140
}